Here is an optimized crystal structure of Pr3Tm3Pb5 from the Alexandria database. Energies are from PBE. Values from VASP.

## Properties
energy of formation = -0.26 eV per formula unit
magnetization = 1.3 μB/f.u.

Quantum ESPRESSO input file:
```
&SYSTEM
  ibrav = 0, nat = 11, ntyp = 3
/
ATOMIC_SPECIES
Pr 140.91 Pr.upf
Tm 168.93 Tm.upf
Pb 207.20 Pb.upf
ATOMIC_POSITIONS crystal
Pr 0.000 0.691 0.691
Pr 0.000 0.309 0.000
Pr 0.000 0.000 0.309
Tm 0.500 0.430 0.430
Tm 0.500 0.000 0.570
Tm 0.500 0.570 0.000
Pb 0.500 0.333 0.667
Pb 0.500 0.667 0.333
Pb 0.500 0.165 0.165
Pb 0.500 0.000 0.835
Pb 0.500 0.835 0.000
CELL_PARAMETERS angstrom
-1.197 -3.180 0.910
-2.040 -2.261 -10.587
9.816 -2.445 4.362
```